[1]
Material: MnHg2GeOs
Method: DFT, GGA-PBE
State: relaxed

Raw total energy ... -3.53 eV per atom
Density of states at the Fermi level ... 5.38 states/eV/f.u.
Energy relative to the elements ... 1595 meV per atom

Cell: 4.888 4.510 4.888 Å, 90.00 90.00 90.00°
Last column: magnetic moment on the atom in μB.
Fractional coordinates of all 5 atoms:
Ge  0.000  0.000  0.000  -0.04
Mn  0.000  0.500  0.000  3.51
Os  0.500  0.500  0.500  2.08
Hg  0.000  0.000  0.500  -0.02
Hg  0.500  0.000  0.000  0.00

[2]
Material: RbMnHgGe2
Method: DFT, GGA-PBE
State: relaxed

Raw total energy ... -3.92 eV per atom
Density of states at the Fermi level ... 0.46 states/eV/f.u.
Energy relative to the elements ... 19 meV per atom

Cell: 4.656 4.656 5.400 Å, 90.00 90.00 90.00°
Fractional coordinates of all 5 atoms:
Ge  0.000  0.500  0.000
Ge  0.500  0.000  0.000
Mn  0.000  0.000  0.000
Hg  0.000  0.000  0.500
Rb  0.500  0.500  0.500

[3]
Material: MnHgGe2Se6
Method: DFT, GGA-PBE
State: relaxed

Raw total energy ... -4.17 eV per atom
Formation energy (no corrections) ... -211 meV per atom

Cell: 6.809 9.479 9.479 Å, 88.16 73.57 73.57°
Last column: magnetic moment on the atom in μB.
Fractional coordinates of all 20 atoms:
Mn  0.250  0.204  0.796  4.17
Mn  0.750  0.796  0.204  4.17
Hg  0.250  0.799  0.201  0.02
Hg  0.750  0.201  0.799  0.02
Ge  0.261  0.789  0.630  0.03
Ge  0.239  0.370  0.211  0.03
Ge  0.739  0.211  0.370  0.03
Ge  0.761  0.630  0.789  0.03
Se  0.116  0.973  0.828  0.05
Se  0.384  0.172  0.027  0.05
Se  0.884  0.027  0.172  0.05
Se  0.616  0.828  0.973  0.05
Se  0.396  0.896  0.399  0.02
Se  0.104  0.601  0.104  0.02
Se  0.604  0.104  0.601  0.02
Se  0.896  0.399  0.896  0.02
Se  0.001  0.691  0.571  0.03
Se  0.499  0.429  0.309  0.03
Se  0.999  0.309  0.429  0.03
Se  0.501  0.571  0.691  0.03

[4]
Material: MnSnHgGe2
Method: DFT, GGA-PBE
State: relaxed

Raw total energy ... -4.41 eV per atom
Density of states at the Fermi level ... 2.79 states/eV/f.u.
Energy relative to the elements ... 131 meV per atom

Cell: 4.615 4.615 5.114 Å, 90.00 90.00 90.00°
Last column: magnetic moment on the atom in μB.
Fractional coordinates of all 5 atoms:
Ge  0.000  0.500  0.000  -0.03
Ge  0.500  0.000  0.000  -0.03
Mn  0.000  0.000  0.000  0.70
Hg  0.500  0.500  0.500  0.00
Sn  0.000  0.000  0.500  -0.01

[5]
Material: Mn2ZnHgGe
Method: DFT, GGA-PBE
State: relaxed

Raw total energy ... -3.79 eV per atom
Density of states at the Fermi level ... 4.16 states/eV/f.u.
Energy relative to the elements ... 1115 meV per atom

Cell: 5.198 5.157 5.198 Å, 90.00 90.00 90.00°
Last column: magnetic moment on the atom in μB.
Fractional coordinates of all 5 atoms:
Zn  0.500  0.500  0.500  0.03
Ge  0.000  0.500  0.000  -0.07
Mn  0.000  0.000  0.500  4.31
Mn  0.500  0.000  0.000  4.11
Hg  0.000  0.000  0.000  0.00

[6]
Material: Hg2GeMo2
Method: DFT, GGA-PBE
State: relaxed

Raw total energy ... -4.65 eV per atom
Density of states at the Fermi level ... 4.28 states/eV/f.u.
Energy relative to the elements ... 730 meV per atom
Polymorph energy (0 for the lowest one) ... 0.59 kcal/mol of atoms

Cell: 8.557 8.557 2.813 Å, 90.00 90.00 90.00°
Fractional coordinates of all 10 atoms:
Mo  0.100  0.600  0.500
Mo  0.600  0.900  0.500
Mo  0.900  0.400  0.500
Mo  0.400  0.100  0.500
Ge  0.000  0.000  0.000
Ge  0.500  0.500  0.000
Hg  0.308  0.808  0.000
Hg  0.808  0.692  0.000
Hg  0.692  0.192  0.000
Hg  0.192  0.308  0.000

[7]
Material: HgGe2Mo
Method: DFT, GGA-PBE
State: relaxed

Raw total energy ... -4.35 eV per atom
Density of states at the Fermi level ... 1.34 states/eV/f.u.
Energy relative to the elements ... 744 meV per atom

Cell: 6.129 6.129 7.142 Å, 64.59 64.59 90.00°
Fractional coordinates of all 8 atoms:
Mo  0.500  0.500  0.000
Mo  0.250  0.750  0.500
Ge  0.581  0.125  0.250
Ge  0.169  0.625  0.250
Ge  0.375  0.419  0.750
Ge  0.875  0.831  0.750
Hg  0.000  0.000  0.000
Hg  0.750  0.250  0.500

[8]
Material: Hg2GeMo2
Method: DFT, GGA-PBE
State: relaxed

Raw total energy ... -4.67 eV per atom
Density of states at the Fermi level ... 4.02 states/eV/f.u.
Energy relative to the elements ... 704 meV per atom
Polymorph energy (0 for the lowest one) ... 0.00 kcal/mol of atoms

Cell: 3.687 3.687 7.942 Å, 76.58 76.58 90.00°
Fractional coordinates of all 5 atoms:
Mo  0.750  0.250  0.500
Mo  0.250  0.750  0.500
Ge  0.000  0.000  0.000
Hg  0.402  0.402  0.197
Hg  0.598  0.598  0.803

[9]
Material: HgGe2Mo2
Method: DFT, GGA-PBE
State: relaxed

Raw total energy ... -5.93 eV per atom
Density of states at the Fermi level ... 3.55 states/eV/f.u.
Energy relative to the elements ... 313 meV per atom
Polymorph energy (0 for the lowest one) ... 4.02 kcal/mol of atoms

Cell: 7.342 7.342 3.138 Å, 90.00 90.00 90.00°
Fractional coordinates of all 10 atoms:
Mo  0.148  0.648  0.500
Mo  0.648  0.852  0.500
Mo  0.852  0.352  0.500
Mo  0.352  0.148  0.500
Ge  0.357  0.857  0.000
Ge  0.857  0.643  0.000
Ge  0.643  0.143  0.000
Ge  0.143  0.357  0.000
Hg  0.000  0.000  0.000
Hg  0.500  0.500  0.000

[10]
Material: HgGe3Mo
Method: DFT, GGA-PBE
State: relaxed

Raw total energy ... -4.75 eV per atom
Density of states at the Fermi level ... 0.17 states/eV/f.u.
Energy relative to the elements ... 246 meV per atom
Polymorph energy (0 for the lowest one) ... 0.00 kcal/mol of atoms

Cell: 4.939 4.939 4.939 Å, 90.00 90.00 90.00°
Fractional coordinates of all 5 atoms:
Mo  0.000  0.000  0.000
Ge  0.000  0.500  0.000
Ge  0.000  0.000  0.500
Ge  0.500  0.000  0.000
Hg  0.500  0.500  0.500

[11]
Material: Hg3GeMo
Method: DFT, GGA-PBE
State: relaxed

Raw total energy ... -2.15 eV per atom
Density of states at the Fermi level ... 2.95 states/eV/f.u.
Energy relative to the elements ... 1123 meV per atom
Polymorph energy (0 for the lowest one) ... 0.93 kcal/mol of atoms

Cell: 5.281 5.281 5.281 Å, 90.00 90.00 90.00°
Last column: magnetic moment on the atom in μB.
Fractional coordinates of all 5 atoms:
Mo  0.500  0.500  0.500  3.88
Ge  0.000  0.000  0.000  -0.02
Hg  0.000  0.500  0.000  0.00
Hg  0.000  0.000  0.500  -0.01
Hg  0.500  0.000  0.000  0.04

[12]
Material: Hg3GeMo
Method: DFT, GGA-PBE
State: relaxed

Raw total energy ... -2.19 eV per atom
Density of states at the Fermi level ... 2.42 states/eV/f.u.
Energy relative to the elements ... 1083 meV per atom
Polymorph energy (0 for the lowest one) ... 0.00 kcal/mol of atoms

Cell: 5.266 5.266 5.266 Å, 90.00 90.00 90.00°
Fractional coordinates of all 5 atoms:
Mo  0.000  0.000  0.000
Ge  0.500  0.500  0.500
Hg  0.000  0.500  0.000
Hg  0.000  0.000  0.500
Hg  0.500  0.000  0.000

[13]
Material: HgGe2Mo2
Method: DFT, GGA-PBE
State: relaxed

Raw total energy ... -6.10 eV per atom
Density of states at the Fermi level ... 1.94 states/eV/f.u.
Energy relative to the elements ... 138 meV per atom
Polymorph energy (0 for the lowest one) ... 0.00 kcal/mol of atoms

Cell: 7.250 7.250 3.287 Å, 90.00 90.00 90.00°
Fractional coordinates of all 10 atoms:
Mo  0.360  0.860  0.000
Mo  0.860  0.640  0.000
Mo  0.640  0.140  0.000
Mo  0.140  0.360  0.000
Ge  0.150  0.650  0.500
Ge  0.650  0.850  0.500
Ge  0.850  0.350  0.500
Ge  0.350  0.150  0.500
Hg  0.000  0.000  0.000
Hg  0.500  0.500  0.000

[14]
Material: NaHgGeMo2
Method: DFT, GGA-PBE
State: relaxed

Raw total energy ... -4.31 eV per atom
Density of states at the Fermi level ... 6.38 states/eV/f.u.
Energy relative to the elements ... 1268 meV per atom

Cell: 4.751 5.171 4.751 Å, 90.00 90.00 90.00°
Fractional coordinates of all 5 atoms:
Na  0.500  0.500  0.500
Mo  0.000  0.000  0.500
Mo  0.500  0.000  0.000
Ge  0.000  0.000  0.000
Hg  0.000  0.500  0.000

Number 1: total magnetic moment 5.9 μB/f.u., volume 107.8 Å³/cell. Number 2: total magnetic moment 0.0 μB/f.u., volume 117.1 Å³/cell. Number 3: total magnetic moment 5.0 μB/f.u., volume 562.1 Å³/cell. Number 4: total magnetic moment 0.7 μB/f.u., volume 108.9 Å³/cell. Number 5: total magnetic moment 8.9 μB/f.u., volume 139.4 Å³/cell. Number 6: total magnetic moment 0.0 μB/f.u., volume 206.0 Å³/cell. Number 7: total magnetic moment 0.0 μB/f.u., volume 213.3 Å³/cell. Number 8: total magnetic moment 0.0 μB/f.u., volume 102.0 Å³/cell. Number 9: total magnetic moment 0.0 μB/f.u., volume 169.2 Å³/cell. Number 10: total magnetic moment 0.0 μB/f.u., volume 120.5 Å³/cell. Number 11: total magnetic moment 4.9 μB/f.u., volume 147.3 Å³/cell. Number 12: total magnetic moment 0.0 μB/f.u., volume 146.0 Å³/cell. Number 13: total magnetic moment 0.0 μB/f.u., volume 172.8 Å³/cell. Number 14: total magnetic moment 0.0 μB/f.u., volume 116.7 Å³/cell.